Record 1
Entry from Alexandria via LeMat-Bulk: a geometry-optimized K2ZnCdSn structure (PBE).

Geometry as POSCAR:
```
K2ZnCdSn
1.0
6.572 0.000 0.000
0.000 6.572 0.000
0.000 0.000 4.867
K Zn Cd Sn
2 1 1 1
Cartesian
0.000 3.286 0.000
3.286 0.000 0.000
0.000 0.000 0.000
3.286 3.286 2.433
0.000 0.000 2.433
```

Summary:
D(E_F) in states/eV/cell: 0.57
SG: No. 123
Energy relative to the elements in eV per formula unit: 0.5
E_tot in eV/atom: -1.583


Record 2
Entry from Alexandria via LeMat-Bulk: a geometry-optimized K2ZnCd3Sn4 structure (PBE).

Geometry as POSCAR:
```
K2ZnCd3Sn4
1.0
4.767 0.000 0.000
0.000 4.767 0.000
0.000 0.000 12.730
K Zn Cd Sn
2 1 3 4
Cartesian
0.000 2.383 3.059
2.383 0.000 9.670
2.383 2.383 0.000
0.000 0.000 0.000
0.000 2.383 8.260
2.383 0.000 4.470
0.000 0.000 6.365
0.000 2.383 11.102
2.383 0.000 1.628
2.383 2.383 6.365
```

Summary:
D(E_F) in states/eV/cell: 4.38
SG: No. 115
Energy relative to the elements in eV per formula unit: -1.3
E_tot in eV/atom: -2.354